1.
The following is a DFT calculation (PBE) of an optimized crystal structure of Cs2KAuSe.

## Properties
Calculated volume   295.69 Å³/cell
Raw total energy   -2.55 eV per atom
Magnetic moment   0.00 μB/cell

Lattice parameters (Å, degrees): 6.928 6.928 6.161 90.00 90.00 90.00
Fractional positions:
Cs: 0.000 0.500 0.000
Cs: 0.500 0.000 0.000
K: 0.000 0.000 0.500
Au: 0.500 0.500 0.500
Se: 0.000 0.000 0.000



2.
The following is a DFT calculation (PBE) of an optimized crystal structure of Tm5ZrIn6.

## Properties
Calculated volume   300.42 Å³/cell
Raw total energy   -4.31 eV per atom
Magnetic moment   0.00 μB/cell
Calculated formation energy   -0.370 eV/atom
N(E_F)   0.53 states/eV/atom

Lattice parameters (Å, degrees): 9.054 9.054 5.285 106.91 106.91 120.87
Fractional positions:
Tm: 0.000 0.000 0.000
Tm: 0.167 0.833 0.500
Tm: 0.334 0.666 0.000
Tm: 0.666 0.334 0.000
Tm: 0.833 0.167 0.500
Zr: 0.500 0.500 0.500
In: 0.088 0.418 0.253
In: 0.257 0.257 0.757
In: 0.418 0.088 0.253
In: 0.582 0.912 0.747
In: 0.743 0.743 0.243
In: 0.912 0.582 0.747



3.
The following is a DFT calculation (PBE) of an optimized crystal structure of TbSm4Dy4.

## Properties
Calculated volume   295.63 Å³/cell
Raw total energy   -4.55 eV per atom
Magnetic moment   0.00 μB/cell
Calculated formation energy   0.105 eV/atom
Distance to the lowest polymorph of the same formula   0.087 eV/atom
N(E_F)   1.67 states/eV/atom

Lattice parameters (Å, degrees): 8.849 8.849 6.833 111.49 111.49 36.79
Fractional positions:
Tb: 0.000 0.000 0.000
Sm: 0.218 0.218 0.288
Sm: 0.367 0.367 0.037
Sm: 0.633 0.633 0.963
Sm: 0.782 0.782 0.712
Dy: 0.130 0.130 0.688
Dy: 0.426 0.426 0.619
Dy: 0.574 0.574 0.381
Dy: 0.870 0.870 0.312



4.
The following is a DFT calculation (PBE) of an optimized crystal structure of Ir2Os2Ru.

## Properties
Calculated volume   153.54 Å³/cell
Raw total energy   -9.43 eV per atom
Magnetic moment   0.00 μB/cell
Calculated formation energy   0.457 eV/atom
Distance to the lowest polymorph of the same formula   0.423 eV/atom
N(E_F)   1.24 states/eV/atom

Lattice parameters (Å, degrees): 3.969 6.034 6.412 90.00 90.00 90.00
Fractional positions:
Ir: 0.000 0.000 0.200
Ir: 0.000 0.000 0.800
Ir: 0.500 0.500 0.300
Ir: 0.500 0.500 0.700
Os: 0.000 0.293 0.500
Os: 0.000 0.707 0.500
Os: 0.500 0.207 0.000
Os: 0.500 0.793 0.000
Ru: 0.000 0.500 0.000
Ru: 0.500 0.000 0.500



5.
The following is a DFT calculation (PBE) of an optimized crystal structure of Sc4FeP.

## Properties
Calculated volume   123.57 Å³/cell
Raw total energy   -5.99 eV per atom
Magnetic moment   2.07 μB/cell
Calculated formation energy   0.541 eV/atom
N(E_F)   1.43 states/eV/atom

Lattice parameters (Å, degrees): 5.591 5.591 5.591 60.00 60.00 60.00
Fractional positions:
Sc: 0.125 0.125 0.125
Sc: 0.125 0.125 0.626
Sc: 0.125 0.626 0.125
Sc: 0.626 0.125 0.125
Fe: 0.750 0.750 0.750
P: 0.500 0.500 0.500



6.
The following is a DFT calculation (PBE) of an optimized crystal structure of AcTb3Dy6Ho2.

## Properties
Calculated volume   388.35 Å³/cell
Raw total energy   -4.53 eV per atom
Magnetic moment   0.00 μB/cell
Calculated formation energy   0.030 eV/atom
N(E_F)   1.25 states/eV/atom

Lattice parameters (Å, degrees): 6.195 6.195 11.860 94.98 94.98 119.96
Fractional positions:
Ac: 0.000 0.000 0.000
Tb: 0.167 0.833 0.500
Tb: 0.500 0.500 0.500
Tb: 0.833 0.167 0.500
Dy: 0.085 0.421 0.254
Dy: 0.252 0.252 0.746
Dy: 0.421 0.085 0.254
Dy: 0.579 0.915 0.746
Dy: 0.748 0.748 0.254
Dy: 0.915 0.579 0.746
Ho: 0.333 0.667 0.000
Ho: 0.667 0.333 0.000



7.
The following is a DFT calculation (PBE) of an optimized crystal structure of CsSO4.

## Properties
Calculated volume   1033.55 Å³/cell
Raw total energy   -5.56 eV per atom
Magnetic moment   8.05 μB/cell
N(E_F)   1.50 states/eV/atom

Lattice parameters (Å, degrees): 13.958 5.652 15.894 90.00 124.49 90.00
Fractional positions:
Cs: 0.125 0.246 0.187
Cs: 0.125 0.254 0.687
Cs: 0.375 0.748 0.562
Cs: 0.375 0.752 0.062
Cs: 0.625 0.248 0.938
Cs: 0.625 0.252 0.438
Cs: 0.875 0.746 0.313
Cs: 0.875 0.754 0.813
S: 0.125 0.245 0.437
S: 0.125 0.255 0.937
S: 0.375 0.748 0.311
S: 0.375 0.752 0.811
S: 0.625 0.248 0.189
S: 0.625 0.252 0.689
S: 0.875 0.745 0.063
S: 0.875 0.755 0.563
O: 0.019 0.244 0.330
O: 0.019 0.256 0.830
O: 0.125 0.031 0.492
O: 0.125 0.040 0.991
O: 0.125 0.460 0.491
O: 0.125 0.469 0.992
O: 0.231 0.245 0.435
O: 0.231 0.255 0.935
O: 0.269 0.745 0.313
O: 0.269 0.755 0.813
O: 0.374 0.537 0.757
O: 0.374 0.963 0.257
O: 0.376 0.534 0.257
O: 0.376 0.966 0.757
O: 0.480 0.749 0.418
O: 0.480 0.751 0.918
O: 0.520 0.249 0.082
O: 0.520 0.251 0.582
O: 0.624 0.034 0.243
O: 0.624 0.466 0.743
O: 0.626 0.037 0.743
O: 0.626 0.463 0.243
O: 0.731 0.245 0.187
O: 0.731 0.255 0.687
O: 0.769 0.745 0.065
O: 0.769 0.755 0.565
O: 0.875 0.531 0.008
O: 0.875 0.540 0.509
O: 0.875 0.960 0.009
O: 0.875 0.969 0.508
O: 0.981 0.744 0.170
O: 0.981 0.756 0.670



8.
The following is a DFT calculation (PBE) of an optimized crystal structure of RhIO2.

## Properties
Calculated volume   180.41 Å³/cell
Raw total energy   -4.91 eV per atom
Magnetic moment   0.00 μB/cell
Distance to the lowest polymorph of the same formula   0.000 eV/atom
N(E_F)   0.50 states/eV/atom

Lattice parameters (Å, degrees): 3.340 3.340 18.674 90.00 90.00 120.00
Fractional positions:
Rh: 0.000 0.000 0.000
Rh: 0.333 0.667 0.667
Rh: 0.667 0.333 0.333
I: 0.000 0.000 0.500
I: 0.333 0.667 0.167
I: 0.667 0.333 0.833
O: 0.000 0.000 0.382
O: 0.000 0.000 0.618
O: 0.333 0.667 0.049
O: 0.333 0.667 0.285
O: 0.667 0.333 0.715
O: 0.667 0.333 0.951